Here is crystalline Ga3WO at its relaxed geometry from the Alexandria database. Energies are from GGA+U.

Cell lengths 4.210, 4.210, 4.210 Å; angles 90.00, 90.00, 90.00 degrees
Space group Pm-3m (No. 221)
Inequivalent atoms, fractional coordinates:
1 Ga 0.000 0.000 0.500
2 W 0.500 0.500 0.500
3 O 0.000 0.000 0.000

Output
Total magnetic moment = 0.0 μB per cell
Electronic total energy = -19.94 eV per cell